P:
# Zn3PRh PBE relaxed
data_Zn3PRh
_chemical_formula_sum 'Zn3 P1 Rh1'
_symmetry_space_group_name_H-M 'P m -3 m'
_symmetry_Int_Tables_number 221
_symmetry_space_group_name_Hall '-P 4 2 3'
_cell_length_a 4.707
_cell_length_b 4.707
_cell_length_c 4.707
_cell_angle_alpha 90.00
_cell_angle_beta 90.00
_cell_angle_gamma 90.00
loop_
_atom_site_label
_atom_site_type_symbol
_atom_site_fract_x
_atom_site_fract_y
_atom_site_fract_z
Zn1 Zn 0.000 0.000 0.500
P1 P 0.500 0.500 0.500
Rh1 Rh 0.000 0.000 0.000
# V = 104.3 Å³ per cell

***

Q:
# Zn3PRh PBE relaxed
data_Zn3PRh
_chemical_formula_sum 'Zn3 P1 Rh1'
_symmetry_space_group_name_H-M 'P m -3 m'
_symmetry_Int_Tables_number 221
_symmetry_space_group_name_Hall '-P 4 2 3'
_cell_length_a 4.497
_cell_length_b 4.497
_cell_length_c 4.497
_cell_angle_alpha 90.00
_cell_angle_beta 90.00
_cell_angle_gamma 90.00
loop_
_atom_site_label
_atom_site_type_symbol
_atom_site_fract_x
_atom_site_fract_y
_atom_site_fract_z
Zn1 Zn 0.000 0.000 0.500
P1 P 0.000 0.000 0.000
Rh1 Rh 0.500 0.500 0.500
# V = 91.0 Å³ per cell

***

The energy of each structure relative to the most stable one, in kJ/mol of atoms, is as follows: P 0.0; Q 3.1.

***

P:
# Zn2P2Rh PBE relaxed
data_Zn2P2Rh
_chemical_formula_sum 'Zn4 P4 Rh2'
_symmetry_space_group_name_H-M 'P 4/m b m'
_symmetry_Int_Tables_number 127
_symmetry_space_group_name_Hall '-P 4 2ab'
_cell_length_a 5.930
_cell_length_b 5.930
_cell_length_c 4.796
_cell_angle_alpha 90.00
_cell_angle_beta 90.00
_cell_angle_gamma 90.00
loop_
_atom_site_label
_atom_site_type_symbol
_atom_site_fract_x
_atom_site_fract_y
_atom_site_fract_z
Zn1 Zn 0.168 0.332 0.000
P1 P 0.133 0.367 0.500
Rh1 Rh 0.000 0.000 0.500
# V = 168.6 Å³ per cell

***

Q:
# Zn2P2Rh PBE relaxed
data_Zn2P2Rh
_chemical_formula_sum 'Zn4 P4 Rh2'
_symmetry_space_group_name_H-M 'I 4/m m m'
_symmetry_Int_Tables_number 139
_symmetry_space_group_name_Hall '-I 4 2'
_cell_length_a 3.940
_cell_length_b 3.940
_cell_length_c 10.061
_cell_angle_alpha 90.00
_cell_angle_beta 90.00
_cell_angle_gamma 90.00
loop_
_atom_site_label
_atom_site_type_symbol
_atom_site_fract_x
_atom_site_fract_y
_atom_site_fract_z
Zn1 Zn 0.000 0.500 0.250
P1 P 0.000 0.000 0.106
Rh1 Rh 0.000 0.000 0.500
# V = 156.2 Å³ per cell

***

The energy of each structure relative to the most stable one, in kJ/mol of atoms, is as follows: P 0.0; Q 50.8.

***

P:
# ZrP3Rh PBE relaxed
data_ZrP3Rh
_chemical_formula_sum 'Zr1 P3 Rh1'
_symmetry_space_group_name_H-M 'P m -3 m'
_symmetry_Int_Tables_number 221
_symmetry_space_group_name_Hall '-P 4 2 3'
_cell_length_a 4.570
_cell_length_b 4.570
_cell_length_c 4.570
_cell_angle_alpha 90.00
_cell_angle_beta 90.00
_cell_angle_gamma 90.00
loop_
_atom_site_label
_atom_site_type_symbol
_atom_site_fract_x
_atom_site_fract_y
_atom_site_fract_z
Zr1 Zr 0.000 0.000 0.000
P1 P 0.000 0.500 0.500
Rh1 Rh 0.500 0.500 0.500
# V = 95.4 Å³ per cell

***

Q:
# ZrP3Rh PBE relaxed
data_ZrP3Rh
_chemical_formula_sum 'Zr1 P3 Rh1'
_symmetry_space_group_name_H-M 'P m -3 m'
_symmetry_Int_Tables_number 221
_symmetry_space_group_name_Hall '-P 4 2 3'
_cell_length_a 4.931
_cell_length_b 4.931
_cell_length_c 4.931
_cell_angle_alpha 90.00
_cell_angle_beta 90.00
_cell_angle_gamma 90.00
loop_
_atom_site_label
_atom_site_type_symbol
_atom_site_fract_x
_atom_site_fract_y
_atom_site_fract_z
Zr1 Zr 0.000 0.000 0.000
P1 P 0.000 0.000 0.500
Rh1 Rh 0.500 0.500 0.500
# V = 119.9 Å³ per cell

***

The energy of each structure relative to the most stable one, in kJ/mol of atoms, is as follows: P 0.0; Q 56.9.

***

P:
# P3Ru PBE relaxed
data_P3Ru
_chemical_formula_sum 'P6 Ru2'
_symmetry_space_group_name_H-M 'C 1 m 1'
_symmetry_Int_Tables_number 8
_symmetry_space_group_name_Hall 'C -2y'
_cell_length_a 7.089
_cell_length_b 3.546
_cell_length_c 5.773
_cell_angle_alpha 90.00
_cell_angle_beta 114.28
_cell_angle_gamma 90.00
loop_
_atom_site_label
_atom_site_type_symbol
_atom_site_fract_x
_atom_site_fract_y
_atom_site_fract_z
P1 P 0.000 0.000 0.000
P2 P 0.009 0.500 0.384
P3 P 0.478 0.000 0.753
Ru1 Ru 0.268 0.500 0.184
# V = 132.3 Å³ per cell

***

Q:
# P3Ru PBE relaxed
data_P3Ru
_chemical_formula_sum 'P6 Ru2'
_symmetry_space_group_name_H-M 'I m m 2'
_symmetry_Int_Tables_number 44
_symmetry_space_group_name_Hall 'I 2 -2'
_cell_length_a 3.703
_cell_length_b 7.244
_cell_length_c 4.552
_cell_angle_alpha 90.00
_cell_angle_beta 90.00
_cell_angle_gamma 90.00
loop_
_atom_site_label
_atom_site_type_symbol
_atom_site_fract_x
_atom_site_fract_y
_atom_site_fract_z
P1 P 0.000 0.000 0.000
P2 P 0.000 0.180 0.388
Ru1 Ru 0.000 0.500 0.180
# V = 122.1 Å³ per cell

***

The energy of each structure relative to the most stable one, in kJ/mol of atoms, is as follows: P 0.7; Q 0.0.

***

P:
# P3Ru PBE relaxed
data_P3Ru
_chemical_formula_sum 'P3 Ru1'
_symmetry_space_group_name_H-M 'P -6 m 2'
_symmetry_Int_Tables_number 187
_symmetry_space_group_name_Hall 'P -6 2'
_cell_length_a 3.1335
_cell_length_b 3.1335
_cell_length_c 6.6814
_cell_angle_alpha 90.00
_cell_angle_beta 90.00
_cell_angle_gamma 120.00
loop_
_atom_site_label
_atom_site_type_symbol
_atom_site_fract_x
_atom_site_fract_y
_atom_site_fract_z
P1 P 0.0000 0.0000 0.0000
P2 P 0.3333 0.6667 0.2522
Ru1 Ru 0.0000 0.0000 0.5000
# V = 56.8 Å³ per cell

***

Q:
# P3Ru PBE relaxed
data_P3Ru
_chemical_formula_sum 'P6 Ru2'
_symmetry_space_group_name_H-M 'C m m m'
_symmetry_Int_Tables_number 65
_symmetry_space_group_name_Hall '-C 2 2'
_cell_length_a 5.342
_cell_length_b 6.839
_cell_length_c 2.980
_cell_angle_alpha 90.00
_cell_angle_beta 90.00
_cell_angle_gamma 90.00
loop_
_atom_site_label
_atom_site_type_symbol
_atom_site_fract_x
_atom_site_fract_y
_atom_site_fract_z
P1 P 0.000 0.000 0.000
P2 P 0.250 0.250 0.500
Ru1 Ru 0.000 0.500 0.000
# V = 108.9 Å³ per cell

***

The energy of each structure relative to the most stable one, in kJ/mol of atoms, is as follows: P 0.0; Q 31.3.

***

P:
# PRu5 PBE relaxed
data_PRu5
_chemical_formula_sum 'P2 Ru10'
_symmetry_space_group_name_H-M 'C 1 2/m 1'
_symmetry_Int_Tables_number 12
_symmetry_space_group_name_Hall '-C 2y'
_cell_length_a 9.494
_cell_length_b 2.823
_cell_length_c 6.534
_cell_angle_alpha 90.00
_cell_angle_beta 111.26
_cell_angle_gamma 90.00
loop_
_atom_site_label
_atom_site_type_symbol
_atom_site_fract_x
_atom_site_fract_y
_atom_site_fract_z
P1 P 0.000 0.000 0.000
Ru1 Ru 0.000 0.000 0.500
Ru2 Ru 0.137 0.500 0.863
Ru3 Ru 0.175 0.500 0.315
# V = 163.2 Å³ per cell

***

Q:
# PRu5 PBE relaxed
data_PRu5
_chemical_formula_sum 'P1 Ru5'
_symmetry_space_group_name_H-M 'P 4/m m m'
_symmetry_Int_Tables_number 123
_symmetry_space_group_name_Hall '-P 4 2'
_cell_length_a 2.792
_cell_length_b 2.792
_cell_length_c 10.400
_cell_angle_alpha 90.00
_cell_angle_beta 90.00
_cell_angle_gamma 90.00
loop_
_atom_site_label
_atom_site_type_symbol
_atom_site_fract_x
_atom_site_fract_y
_atom_site_fract_z
P1 P 0.000 0.000 0.000
Ru1 Ru 0.000 0.000 0.323
Ru2 Ru 0.500 0.500 0.137
Ru3 Ru 0.500 0.500 0.500
# V = 81.1 Å³ per cell

***

R:
# PRu5 PBE relaxed
data_PRu5
_chemical_formula_sum 'P2 Ru10'
_symmetry_space_group_name_H-M 'C m m m'
_symmetry_Int_Tables_number 65
_symmetry_space_group_name_Hall '-C 2 2'
_cell_length_a 3.813
_cell_length_b 11.586
_cell_length_c 3.724
_cell_angle_alpha 90.00
_cell_angle_beta 90.00
_cell_angle_gamma 90.00
loop_
_atom_site_label
_atom_site_type_symbol
_atom_site_fract_x
_atom_site_fract_y
_atom_site_fract_z
P1 P 0.000 0.000 0.000
Ru1 Ru 0.000 0.165 0.500
Ru2 Ru 0.000 0.325 0.000
Ru3 Ru 0.000 0.500 0.500
# V = 164.5 Å³ per cell

***

The energy of each structure relative to the most stable one, in kJ/mol of atoms, is as follows: P 0.0; Q 1.6; R 15.1.